Below is a relaxed CuTeP2Cl crystal, with properties calculated at the GGA-PBE level.

Unit cell a=4.6843 b=4.6843 c=4.4868 alpha=90.00 beta=90.00 gamma=90.00
Positions (direct):
P1 0.5000 0.0000 0.0000
P2 0.0000 0.5000 0.0000
Cu1 0.0000 0.0000 0.0000
Te1 0.5000 0.5000 0.5000
Cl1 0.0000 0.0000 0.5000

**Magnetic moment**: 0.0 μB/cell
**Formation energy without anion corrections**: 526 meV/atom
**Relative energy among the computed polymorphs**: 0 meV/atom
**Symmetry**: P4/mmm